# K2NbWO6 (PBE with a Hubbard U, optimized geometry)
# - calculated volume (A^3/atom) = 13.1
# - DFT total energy (eV for the cell shown) = -286.104
data_K2NbWO6
_space_group_name_H-M_alt 'F m -3 m'
_space_group_IT_number 225
_space_group_name_Hall '-F 4 2 3'
_cell_length_a 8.057
_cell_length_b 8.057
_cell_length_c 8.057
_cell_angle_alpha 90.00
_cell_angle_beta 90.00
_cell_angle_gamma 90.00
loop_
_atom_site_label
_atom_site_type_symbol
_atom_site_fract_x
_atom_site_fract_y
_atom_site_fract_z
K1 K 0.250 0.250 0.250
Nb1 Nb 0.000 0.000 0.000
W1 W 0.000 0.000 0.500
O1 O 0.000 0.000 0.254